1.
# Na4SmNp3Te8

A relaxed structure of Na4SmNp3Te8 (PBE, Alexandria).

Cell: 10.7390 14.2606 7.6988 Å, 126.40 134.22 90.00°
Closest atoms and distances in Å follow each position.
Fractional coordinates of all 16 atoms:
Na 0.5000 0.0000 0.0000  6 Te 3.25-3.50
Na 0.5000 0.0000 0.5000  6 Te 3.23-3.49
Na 0.0000 0.0000 0.0000  6 Te 3.21-3.47
Na 0.0000 0.0000 0.5000  6 Te 3.23-3.49
Sm 0.0000 0.5000 0.0000  8 Te 3.25-3.32
Np 0.5000 0.5000 0.0000  8 Te 3.22-3.28
Np 0.5000 0.5000 0.5000  8 Te 3.23-3.30
Np 0.0000 0.5000 0.5000  8 Te 3.23-3.30
Te 0.4943 0.7265 0.4850  3 Np 3.22-3.30, 3 Na 3.23-3.50, 1 Sm 3.25
Te 0.9897 0.7264 0.9794  3 Np 3.24-3.28, 3 Na 3.25-3.48, 1 Sm 3.32, 1 Te 3.61
Te 0.5063 0.2748 0.0127  3 Na 3.21-3.49, 3 Np 3.23-3.27, 1 Sm 3.32
Te 0.9907 0.7265 0.4850  3 Np 3.22-3.30, 3 Na 3.23-3.50, 1 Sm 3.25
Te 0.0093 0.2735 0.5150  3 Np 3.22-3.30, 3 Na 3.23-3.50, 1 Sm 3.25
Te 0.4937 0.7252 0.9873  3 Na 3.21-3.49, 3 Np 3.23-3.27, 1 Sm 3.32
Te 0.0103 0.2736 0.0206  3 Np 3.24-3.28, 3 Na 3.25-3.48, 1 Sm 3.32, 1 Te 3.61
Te 0.5057 0.2735 0.5150  3 Np 3.22-3.30, 3 Na 3.23-3.50, 1 Sm 3.25

Summary:
The calculation puts the calculated total energy at -5.43 eV/atom. For the raw formation energy, the calculation gives -0.81 eV/atom.

2.
# Na3SmNp2Te6

A relaxed structure of Na3SmNp2Te6 (PBE, Alexandria).

Cell: 7.7820 7.7820 7.9657 Å, 99.36 99.36 120.00°
Closest atoms and distances in Å follow each position.
Fractional coordinates of all 12 atoms:
Na 0.1654 0.8346 0.5000  6 Te 3.27
Na 0.8346 0.1654 0.5000  6 Te 3.27
Na 0.5000 0.5000 0.5000  6 Te 3.26-3.27
Sm 0.0000 0.0000 0.0000  6 Te 3.16
Np 0.3331 0.6669 0.0000  6 Te 3.14
Np 0.6669 0.3331 0.0000  6 Te 3.14
Te 0.9213 0.5861 0.7641  2 Np 3.14, 1 Sm 3.16, 3 Na 3.27
Te 0.7431 0.7431 0.2355  2 Np 3.14, 1 Sm 3.16, 3 Na 3.26-3.27
Te 0.0787 0.4139 0.2359  2 Np 3.14, 1 Sm 3.16, 3 Na 3.27
Te 0.5861 0.9213 0.7641  2 Np 3.14, 1 Sm 3.16, 3 Na 3.27
Te 0.2569 0.2569 0.7645  2 Np 3.14, 1 Sm 3.16, 3 Na 3.26-3.27
Te 0.4139 0.0787 0.2359  2 Np 3.14, 1 Sm 3.16, 3 Na 3.27

Summary:
The calculation puts the calculated total energy at -5.43 eV/atom. For the raw formation energy, the calculation gives -0.98 eV/atom.

3.
# NaNpSn6

A relaxed structure of NaNpSn6 (PBE, Alexandria).

Cell: 4.6844 4.6844 9.4175 Å, 90.00 90.00 90.00°
Closest atoms and distances in Å follow each position.
Fractional coordinates of all 8 atoms:
Na 0.0000 0.0000 0.0000  12 Sn 3.31-3.32
Np 0.0000 0.0000 0.5000  12 Sn 3.31-3.32
Sn 0.5000 0.5000 0.0000  4 Na 3.31, 8 Sn 3.32
Sn 0.5000 0.5000 0.5000  4 Np 3.31, 8 Sn 3.32
Sn 0.5000 0.0000 0.2506  8 Sn 3.31-3.32, 2 Np 3.32, 2 Na 3.32
Sn 0.5000 0.0000 0.7494  8 Sn 3.31-3.32, 2 Np 3.32, 2 Na 3.32
Sn 0.0000 0.5000 0.2506  8 Sn 3.31-3.32, 2 Np 3.32, 2 Na 3.32
Sn 0.0000 0.5000 0.7494  8 Sn 3.31-3.32, 2 Np 3.32, 2 Na 3.32

Summary:
The calculation puts the calculated total energy at -4.88 eV/atom. For the calculated formation energy, the calculation gives -0.0974 eV per atom.

4.
# NaNpSn2

A relaxed structure of NaNpSn2 (PBE, Alexandria).

Cell: 3.2568 3.2568 11.7215 Å, 82.01 82.01 60.00°
Closest atoms and distances in Å follow each position.
Fractional coordinates of all 4 atoms:
Np 0.5000 0.5000 0.5000  6 Np 3.26, 6 Sn 3.33
Na 0.0000 0.0000 0.0000  2 Sn 3.04, 6 Na 3.26
Sn 0.0874 0.0874 0.7377  1 Na 3.04, 6 Sn 3.26, 3 Np 3.33
Sn 0.9126 0.9126 0.2623  1 Na 3.04, 6 Sn 3.26, 3 Np 3.33

Summary:
The calculation puts the calculated total energy at -5.45 eV/atom. For the calculated formation energy, the calculation gives 0.1209 eV per atom.

5.
# NaNpSn2

A relaxed structure of NaNpSn2 (PBE, Alexandria).

Cell: 3.1875 3.1875 10.0501 Å, 90.00 90.00 90.00°
Closest atoms and distances in Å follow each position.
Fractional coordinates of all 4 atoms:
Np 0.5000 0.5000 0.0000  4 Np 3.19, 8 Sn 3.35
Na 0.5000 0.5000 0.5000  4 Na 3.19, 8 Sn 3.40
Sn 0.0000 0.0000 0.7531  4 Sn 3.19, 4 Np 3.35, 4 Na 3.40
Sn 0.0000 0.0000 0.2469  4 Sn 3.19, 4 Np 3.35, 4 Na 3.40

Summary:
The calculation puts the calculated total energy at -5.66 eV/atom. For the calculated formation energy, the calculation gives -0.0964 eV per atom.

6.
# NaNpSn2

A relaxed structure of NaNpSn2 (PBE, Alexandria).

Cell: 3.0995 5.7836 5.7836 Å, 90.00 90.00 90.00°
Closest atoms and distances in Å follow each position.
Fractional coordinates of all 4 atoms:
Np 0.5000 0.5000 0.5000  2 Np 3.10, 8 Sn 3.28
Na 0.5000 0.0000 0.0000  2 Na 3.10, 8 Sn 3.28
Sn 0.0000 0.0000 0.5000  2 Sn 3.10, 4 Na 3.28, 4 Np 3.28
Sn 0.0000 0.5000 0.0000  2 Sn 3.10, 4 Na 3.28, 4 Np 3.28

Summary:
The calculation puts the calculated total energy at -5.63 eV/atom. For the calculated formation energy, the calculation gives -0.0636 eV per atom.

7.
# NaNpSn

A relaxed structure of NaNpSn (PBE, Alexandria).

Cell: 5.3220 5.3493 24.2821 Å, 144.70 156.74 37.67°
Closest atoms and distances in Å follow each position.
Fractional coordinates of all 6 atoms:
Np 0.0448 0.1353 0.9613  2 Np 2.39
Np 0.9552 0.8647 0.0387  2 Np 2.39
Sn 0.3021 0.7869 0.2277  4 Na 3.18-3.37, 5 Np 3.22-3.31, 2 Sn 3.45
Sn 0.6979 0.2131 0.7723  4 Na 3.18-3.37, 5 Np 3.22-3.31, 2 Sn 3.45
Na 0.4074 0.3081 0.6024  4 Sn 3.18-3.37, 4 Na 3.26-3.45
Na 0.5926 0.6919 0.3976  4 Sn 3.18-3.37, 4 Na 3.26-3.45

Summary:
The calculation puts the calculated total energy at -6.14 eV/atom. For the calculated formation energy, the calculation gives -0.0523 eV per atom.

8.
# Na4Np3SnTe8

A relaxed structure of Na4Np3SnTe8 (PBE, Alexandria).

Cell: 9.0482 9.0779 9.0503 Å, 119.92 119.99 90.00°
Closest atoms and distances in Å follow each position.
Fractional coordinates of all 16 atoms:
Na 0.5000 0.0000 0.0000  6 Te 3.24
Na 0.5000 0.0000 0.5000  6 Te 3.28-3.31
Na 0.0000 0.0000 0.0000  6 Te 3.28-3.31
Na 0.0000 0.0000 0.5000  6 Te 3.28-3.31
Np 0.5000 0.5000 0.0000  6 Te 3.10-3.13
Np 0.5000 0.5000 0.5000  6 Te 3.11-3.13
Np 0.0000 0.5000 0.5000  6 Te 3.11-3.13
Sn 0.0000 0.5000 0.0000  6 Te 3.18
Te 0.2478 0.7319 0.9845  2 Np 3.10-3.11, 1 Sn 3.18, 3 Na 3.24-3.31
Te 0.2477 0.7323 0.4954  2 Np 3.11, 1 Sn 3.18, 3 Na 3.24-3.30
Te 0.2555 0.2668 0.5110  3 Np 3.13, 3 Na 3.28
Te 0.7367 0.7319 0.9845  2 Np 3.10-3.11, 1 Sn 3.18, 3 Na 3.24-3.31
Te 0.2633 0.2681 0.0155  2 Np 3.10-3.11, 1 Sn 3.18, 3 Na 3.24-3.31
Te 0.7445 0.7332 0.4890  3 Np 3.13, 3 Na 3.28
Te 0.7523 0.2677 0.5046  2 Np 3.11, 1 Sn 3.18, 3 Na 3.24-3.30
Te 0.7522 0.2681 0.0155  2 Np 3.10-3.11, 1 Sn 3.18, 3 Na 3.24-3.31

Summary:
The calculation puts the calculated total energy at -5.33 eV/atom. For the raw formation energy, the calculation gives -0.75 eV/atom.

Q: Which formula does entry 6 have?
A: NaNpSn2

Q: Which value of calculated total energy does entry 7 give?
A: -6.14 eV/atom

Q: calculated total energy of number 8 (Na4Np3SnTe8)?
A: -5.33 eV/atom

Repeat the fourth record exactly.
# NaNpSn2

A relaxed structure of NaNpSn2 (PBE, Alexandria).

Cell: 3.2568 3.2568 11.7215 Å, 82.01 82.01 60.00°
Closest atoms and distances in Å follow each position.
Fractional coordinates of all 4 atoms:
Np 0.5000 0.5000 0.5000  6 Np 3.26, 6 Sn 3.33
Na 0.0000 0.0000 0.0000  2 Sn 3.04, 6 Na 3.26
Sn 0.0874 0.0874 0.7377  1 Na 3.04, 6 Sn 3.26, 3 Np 3.33
Sn 0.9126 0.9126 0.2623  1 Na 3.04, 6 Sn 3.26, 3 Np 3.33

Summary:
The calculation puts the calculated total energy at -5.45 eV/atom. For the calculated formation energy, the calculation gives 0.1209 eV per atom.